First-principles (meta-GGA SCAN) data for BaScAl3 at its PBEsol-relaxed geometry, as listed in Alexandria.

## Properties
- DFT formation energy: 1.523 eV per atom
- Total moment: 1.0 Bohr magnetons per cell
- E_tot: -13.8855 eV/atom
- Crystal system: cubic

Lattice parameters (Å, degrees): 5.4560 5.4560 5.4560 90.00 90.00 90.00
Closest atoms and distances in Å follow each position.
Positions (direct):
Ba1 0.0000 0.0000 0.0000  6 Al 2.73
Sc1 0.5000 0.5000 0.5000  12 Al 3.86
Al1 0.0000 0.0000 0.5000  2 Ba 2.73
Al2 0.0000 0.5000 0.0000  2 Ba 2.73
Al3 0.5000 0.0000 0.0000  2 Ba 2.73

First-principles (meta-GGA SCAN) data for CuReP2 at its PBEsol-relaxed geometry, as listed in Alexandria.

## Properties
- Distance to the lowest polymorph of the same formula: 0.000 eV/atom
- DFT formation energy: 0.073 eV per atom
- Total moment: 0.0 Bohr magnetons per cell
- E_tot: -26.7004 eV/atom
- Crystal system: orthorhombic

Lattice parameters (Å, degrees): 6.2772 6.2772 6.2772 152.66 150.47 40.68
Closest atoms and distances in Å follow each position.
Positions (direct):
Cu1 0.0000 0.0000 0.0000  6 P 2.39-2.48
Re1 0.7608 0.2608 0.5000  6 P 2.40-2.41
P1 0.3487 0.8487 0.5000  2 Cu 2.39, 4 Re 2.41
P2 0.6007 0.6007 0.0000  2 Re 2.40, 4 Cu 2.48